The following is a DFT calculation (PBE) of a relaxed structure of Ho3Th5Bi8.

a b c (Å): 9.1030 9.1030 9.0907
angles (deg): 59.96 59.96 60.00
Sites, in units of the cell vectors:
Th1 0.5000 0.5000 0.5000
Th2 0.0000 0.0000 0.0000
Th3 0.5000 0.5000 0.0000
Th4 0.0000 0.5000 0.0000
Th5 0.5000 0.0000 0.0000
Bi1 0.7500 0.7500 0.2577
Bi2 0.7577 0.2500 0.7423
Bi3 0.2423 0.7500 0.2577
Bi4 0.2465 0.2465 0.2606
Bi5 0.7500 0.2423 0.2577
Bi6 0.2500 0.7577 0.7423
Bi7 0.2500 0.2500 0.7423
Bi8 0.7535 0.7535 0.7394
Ho1 0.5000 0.0000 0.5000
Ho2 0.0000 0.0000 0.5000
Ho3 0.0000 0.5000 0.5000

Output
The final energy comes out at -0.4245 Ry/atom. The calculation puts the spin magnetization at 0.00 μB/f.u.